This record from Alexandria via LeMat-Bulk describes MgSb2F8 after structural relaxation. The functional is PBE-GGA.

* raw formation energy: -60.38 kcal/mol of atoms
* magnetization: 0.000 μB per atom

```
data_MgSb2F8
_chemical_formula_sum 'Mg1 Sb2 F8'
_cell_length_a 6.1121
_cell_length_b 6.1121
_cell_length_c 4.8296
_cell_angle_alpha 103.56
_cell_angle_beta 103.56
_cell_angle_gamma 76.47
_space_group_name_H-M_alt 'P 1'
_space_group_IT_number 1
loop_
_space_group_symop_operation_xyz
'x,y,z'
loop_
_atom_site_label
_atom_site_type_symbol
_atom_site_fract_x
_atom_site_fract_y
_atom_site_fract_z
_atom_site_occupancy
Mg1 Mg 0.0000 0.0000 0.0000 1
Sb1 Sb 0.3017 0.3017 0.5722 1
Sb2 Sb 0.6983 0.6983 0.4278 1
F1 F 0.0191 0.6801 0.7152 1
F2 F 0.1231 0.1231 0.7511 1
F3 F 0.3199 0.9809 0.2848 1
F4 F 0.3923 0.3923 0.2353 1
F5 F 0.6077 0.6077 0.7647 1
F6 F 0.6801 0.0191 0.7152 1
F7 F 0.8769 0.8769 0.2489 1
F8 F 0.9809 0.3199 0.2848 1
```

This record from Alexandria via LeMat-Bulk describes Hf2B2Pd after structural relaxation. The functional is PBE-GGA.

* magnetization: 0.000 μB per atom
* formation energy: -0.71 eV/atom

```
data_Hf2B2Pd
_chemical_formula_sum 'Hf4 B4 Pd2'
_cell_length_a 6.2640
_cell_length_b 6.2640
_cell_length_c 3.4131
_cell_angle_alpha 90.00
_cell_angle_beta 90.00
_cell_angle_gamma 90.00
_space_group_name_H-M_alt 'P 1'
_space_group_IT_number 1
loop_
_space_group_symop_operation_xyz
'x,y,z'
loop_
_atom_site_label
_atom_site_type_symbol
_atom_site_fract_x
_atom_site_fract_y
_atom_site_fract_z
_atom_site_occupancy
Hf1 Hf 0.1798 0.3202 0.0000 1
Hf2 Hf 0.3202 0.8202 0.0000 1
Hf3 Hf 0.6798 0.1798 0.0000 1
Hf4 Hf 0.8202 0.6798 0.0000 1
B1 B 0.0986 0.5986 0.5000 1
B2 B 0.4014 0.0986 0.5000 1
B3 B 0.5986 0.9014 0.5000 1
B4 B 0.9014 0.4014 0.5000 1
Pd1 Pd 0.0000 0.0000 0.5000 1
Pd2 Pd 0.5000 0.5000 0.5000 1
```

This record from Alexandria via LeMat-Bulk describes Co4Ru after structural relaxation. The functional is PBE-GGA.

* magnetization: 1.277 μB per atom
* formation energy: 0.13 eV/atom

```
data_Co4Ru
_chemical_formula_sum 'Co4 Ru1'
_cell_length_a 10.3782
_cell_length_b 10.3782
_cell_length_c 10.3782
_cell_angle_alpha 14.19
_cell_angle_beta 14.19
_cell_angle_gamma 14.19
_space_group_name_H-M_alt 'P 1'
_space_group_IT_number 1
loop_
_space_group_symop_operation_xyz
'x,y,z'
loop_
_atom_site_label
_atom_site_type_symbol
_atom_site_fract_x
_atom_site_fract_y
_atom_site_fract_z
_atom_site_occupancy
Co1 Co 0.0970 0.0970 0.0970 1
Co2 Co 0.3007 0.3007 0.3007 1
Co3 Co 0.6993 0.6993 0.6993 1
Co4 Co 0.9030 0.9030 0.9030 1
Ru1 Ru 0.5000 0.5000 0.5000 1
```

What is the formula in the third record? Co4Ru

Look up the magnetization of the second one. 0.000 μB per atom

Which formula does entry 3 have? Co4Ru